Below is a relaxed structure of Na3TbSm2Te6, with properties calculated at the PBE level.

Values from the calculation:
- energy (eV for the cell shown) = -52.8
- size of the total moment (Bohr magnetons per cell) = 0.000
- ΔE_f (raw) (eV per atom) = -1.325

Cell: 7.7649 7.7649 8.0001 Å, 99.31 99.31 120.00°
Element x y z (fractional)
Na 0.1677 0.8323 0.5000
Na 0.8323 0.1677 0.5000
Na 0.5000 0.5000 0.5000
Tb 0.0000 0.0000 0.0000
Sm 0.3335 0.6665 0.0000
Sm 0.6665 0.3335 0.0000
Te 0.9216 0.5919 0.7646
Te 0.7490 0.7490 0.2354
Te 0.0784 0.4081 0.2354
Te 0.5919 0.9216 0.7646
Te 0.2510 0.2510 0.7646
Te 0.4081 0.0784 0.2354

***

Below is a relaxed structure of NaTb2SmTe4, with properties calculated at the PBE level.

Values from the calculation:
- energy (eV for the cell shown) = -38.6
- size of the total moment (Bohr magnetons per cell) = 0.000
- ΔE_f (raw) (eV per atom) = -1.339

Cell: 4.3846 7.6875 7.6947 Å, 108.91 90.00 90.00°
Element x y z (fractional)
Na 0.0000 0.0000 0.0000
Tb 0.5000 0.0000 0.5000
Tb 0.0000 0.5000 0.5000
Sm 0.5000 0.5000 0.0000
Te 0.5000 0.2515 0.2553
Te 0.5000 0.7485 0.7447
Te 0.0000 0.2464 0.7458
Te 0.0000 0.7536 0.2542

***

Below is a relaxed structure of NaTb2Sm3Te6, with properties calculated at the PBE level.

Values from the calculation:
- energy (eV for the cell shown) = -59.8
- size of the total moment (Bohr magnetons per cell) = 0.000
- ΔE_f (raw) (eV per atom) = -1.351

Cell: 4.4124 8.8975 9.9127 Å, 103.10 102.86 90.00°
Element x y z (fractional)
Na 0.5000 0.0000 0.0000
Tb 0.8322 0.6595 0.6643
Tb 0.1678 0.3405 0.3357
Sm 0.5000 0.5000 0.0000
Sm 0.8371 0.1756 0.6741
Sm 0.1629 0.8244 0.3259
Te 0.3321 0.9130 0.6642
Te 0.6671 0.5803 0.3343
Te 0.6679 0.0870 0.3358
Te 0.0036 0.2487 0.0071
Te 0.9964 0.7513 0.9929
Te 0.3329 0.4197 0.6657